[1]
The following is a GGA-PBE calculation of crystalline CaNi2GePt at its relaxed geometry, from the Alexandria database.

Energy of formation, meV per atom: 197

a b c (Å): 4.8124 4.8124 4.6000
angles (deg): 90.00 90.00 90.00
With the nearest neighbours (Å) after each atom.
Sites, in units of the cell vectors:
Ca 0.0000 0.0000 0.0000  8 Ni 3.33, 4 Ge 3.40
Ni 0.0000 0.5000 0.5000  2 Pt 2.41
Ni 0.5000 0.0000 0.5000  2 Pt 2.41
Ge 0.5000 0.5000 0.0000  2 Pt 2.30
Pt 0.5000 0.5000 0.5000  2 Ge 2.30, 4 Ni 2.41

[2]
The following is a GGA-PBE calculation of crystalline Ca2Ni4Ge3Rh at its relaxed geometry, from the Alexandria database.

Energy of formation, meV per atom: -456

a b c (Å): 4.0162 4.0162 10.1732
angles (deg): 90.00 90.00 90.00
With the nearest neighbours (Å) after each atom.
Sites, in units of the cell vectors:
Ca 0.0000 0.5000 0.2491  8 Ni 3.04-3.25, 6 Ge 3.10-3.23, 2 Rh 3.23
Ca 0.5000 0.0000 0.7509  8 Ni 3.04-3.25, 6 Ge 3.10-3.23, 2 Rh 3.23
Ni 0.0000 0.0000 0.5000  4 Ge 2.39
Ni 0.0000 0.5000 0.8588  3 Ge 2.35-2.47, 2 Rh 2.47
Ni 0.5000 0.0000 0.1412  3 Ge 2.35-2.47, 2 Rh 2.47
Ni 0.5000 0.5000 0.5000  4 Ge 2.39
Ge 0.0000 0.0000 0.0000  4 Ni 2.47
Ge 0.0000 0.5000 0.6275  5 Ni 2.35-2.39
Ge 0.5000 0.0000 0.3725  5 Ni 2.35-2.39
Rh 0.5000 0.5000 0.0000  4 Ni 2.47

[3]
The following is a GGA-PBE calculation of crystalline Ca2NiGe4Rh3 at its relaxed geometry, from the Alexandria database.

Energy of formation, meV per atom: -657

a b c (Å): 4.2429 4.2429 10.0538
angles (deg): 90.00 90.00 90.00
With the nearest neighbours (Å) after each atom.
Sites, in units of the cell vectors:
Ca 0.0000 0.5000 0.2476  6 Rh 3.24-3.27, 8 Ge 3.25-3.31, 2 Ni 3.27
Ca 0.5000 0.0000 0.7524  6 Rh 3.24-3.27, 8 Ge 3.25-3.31, 2 Ni 3.27
Ni 0.5000 0.5000 0.0000  4 Ge 2.46
Ge 0.0000 0.0000 0.5000  4 Rh 2.49
Ge 0.0000 0.5000 0.8769  2 Ni 2.46, 3 Rh 2.46-2.48
Ge 0.5000 0.0000 0.1231  2 Ni 2.46, 3 Rh 2.46-2.48
Ge 0.5000 0.5000 0.5000  4 Rh 2.49
Rh 0.0000 0.0000 0.0000  4 Ge 2.46
Rh 0.0000 0.5000 0.6304  5 Ge 2.48-2.49
Rh 0.5000 0.0000 0.3696  5 Ge 2.48-2.49

[4]
The following is a GGA-PBE calculation of crystalline Ca2Ni4Ge3Ru at its relaxed geometry, from the Alexandria database.

Energy of formation, meV per atom: -391

a b c (Å): 4.0011 4.0011 10.1974
angles (deg): 90.00 90.00 90.00
With the nearest neighbours (Å) after each atom.
Sites, in units of the cell vectors:
Ca 0.0000 0.5000 0.2488  8 Ni 3.06-3.23, 6 Ge 3.08-3.25, 2 Ru 3.25
Ca 0.5000 0.0000 0.7512  8 Ni 3.06-3.23, 6 Ge 3.08-3.25, 2 Ru 3.25
Ni 0.0000 0.0000 0.0000  4 Ge 2.39
Ni 0.0000 0.5000 0.6376  3 Ge 2.38-2.44, 2 Ru 2.44
Ni 0.5000 0.0000 0.3624  3 Ge 2.38-2.44, 2 Ru 2.44
Ni 0.5000 0.5000 0.0000  4 Ge 2.39
Ge 0.0000 0.5000 0.8709  5 Ni 2.38-2.39
Ge 0.5000 0.0000 0.1291  5 Ni 2.38-2.39
Ge 0.5000 0.5000 0.5000  4 Ni 2.44
Ru 0.0000 0.0000 0.5000  4 Ni 2.44

[5]
The following is a GGA-PBE calculation of crystalline Ca2Ni3Ge4Ru at its relaxed geometry, from the Alexandria database.

Energy of formation, meV per atom: -535

a b c (Å): 4.0858 4.0858 10.1194
angles (deg): 90.00 90.00 90.00
With the nearest neighbours (Å) after each atom.
Sites, in units of the cell vectors:
Ca 0.0000 0.5000 0.2444  6 Ni 3.12-3.30, 8 Ge 3.14-3.21, 2 Ru 3.30
Ca 0.5000 0.0000 0.7556  6 Ni 3.12-3.30, 8 Ge 3.14-3.21, 2 Ru 3.30
Ni 0.0000 0.5000 0.8719  5 Ge 2.42
Ni 0.5000 0.0000 0.1281  5 Ge 2.42
Ni 0.5000 0.5000 0.5000  4 Ge 2.45
Ge 0.0000 0.0000 0.0000  4 Ni 2.42
Ge 0.0000 0.5000 0.6331  3 Ni 2.42-2.45, 2 Ru 2.45
Ge 0.5000 0.0000 0.3669  3 Ni 2.42-2.45, 2 Ru 2.45
Ge 0.5000 0.5000 0.0000  4 Ni 2.42
Ru 0.0000 0.0000 0.5000  4 Ge 2.45

[6]
The following is a GGA-PBE calculation of crystalline CaNi2GeS at its relaxed geometry, from the Alexandria database.

Formation energy without anion corrections, eV per atom: -0.1217

a b c (Å): 4.3218 4.3218 5.4370
angles (deg): 90.00 90.00 90.00
With the nearest neighbours (Å) after each atom.
Sites, in units of the cell vectors:
Ca 0.0000 0.0000 0.0000  4 S 3.06
Ni 0.0000 0.5000 0.5000  2 Ge 2.16
Ni 0.5000 0.0000 0.5000  2 Ge 2.16
Ge 0.5000 0.5000 0.5000  4 Ni 2.16
S 0.5000 0.5000 0.0000  2 Ge 2.72

[7]
The following is a GGA-PBE calculation of crystalline Ca2Ni4Ge3Sb at its relaxed geometry, from the Alexandria database.

Formation energy without anion corrections, eV per atom: -0.5002

a b c (Å): 4.2072 4.2072 9.8986
angles (deg): 90.00 90.00 90.00
With the nearest neighbours (Å) after each atom.
Sites, in units of the cell vectors:
Ca 0.0000 0.5000 0.2378  8 Ni 3.16-3.21, 7 Ge 3.20-3.52, 2 Sb 3.34
Ca 0.5000 0.0000 0.7622  8 Ni 3.16-3.21, 7 Ge 3.20-3.52, 2 Sb 3.34
Ni 0.0000 0.0000 0.0000  4 Ge 2.41
Ni 0.0000 0.5000 0.6407  3 Ge 2.39-2.52, 2 Sb 2.52
Ni 0.5000 0.0000 0.3593  3 Ge 2.39-2.52, 2 Sb 2.52
Ni 0.5000 0.5000 0.0000  4 Ge 2.41
Ge 0.0000 0.5000 0.8819  5 Ni 2.39-2.41
Ge 0.5000 0.0000 0.1181  5 Ni 2.39-2.41
Ge 0.5000 0.5000 0.5000  4 Ni 2.52
Sb 0.0000 0.0000 0.5000  4 Ni 2.52

[8]
The following is a GGA-PBE calculation of crystalline CaScNiGe2 at its relaxed geometry, from the Alexandria database.

Energy of formation, meV per atom: 161

a b c (Å): 5.1157 5.1157 4.6206
angles (deg): 90.00 90.00 90.00
With the nearest neighbours (Å) after each atom.
Sites, in units of the cell vectors:
Ca 0.0000 0.0000 0.0000  8 Ge 3.45, 4 Ni 3.62
Sc 0.5000 0.5000 0.5000  2 Ni 2.31, 4 Ge 2.56
Ni 0.5000 0.5000 0.0000  2 Sc 2.31
Ge 0.0000 0.5000 0.5000  2 Sc 2.56
Ge 0.5000 0.0000 0.5000  2 Sc 2.56

[9]
The following is a GGA-PBE calculation of crystalline Ca2ScNiGe at its relaxed geometry, from the Alexandria database.

Energy of formation, meV per atom: -32

a b c (Å): 5.1837 5.1837 4.8889
angles (deg): 90.00 90.00 90.00
With the nearest neighbours (Å) after each atom.
Sites, in units of the cell vectors:
Ca 0.0000 0.5000 0.0000  2 Ni 2.59
Ca 0.5000 0.0000 0.0000  2 Ni 2.59
Sc 0.0000 0.0000 0.5000  2 Ni 2.44
Ni 0.0000 0.0000 0.0000  2 Sc 2.44, 4 Ca 2.59
Ge 0.5000 0.5000 0.5000  8 Ca 3.56, 4 Sc 3.67

[10]
The following is a GGA-PBE calculation of crystalline Ca2Si3Ni4Ge at its relaxed geometry, from the Alexandria database.

Formation energy without anion corrections, eV per atom: -0.5918

a b c (Å): 4.0096 4.0096 9.6997
angles (deg): 90.00 90.00 90.00
With the nearest neighbours (Å) after each atom.
Sites, in units of the cell vectors:
Ca 0.0000 0.5000 0.2485  8 Ni 3.06-3.14, 6 Si 3.09-3.16, 2 Ge 3.16
Ca 0.5000 0.0000 0.7515  8 Ni 3.06-3.14, 6 Si 3.09-3.16, 2 Ge 3.16
Si 0.0000 0.5000 0.8777  5 Ni 2.33-2.36
Si 0.5000 0.0000 0.1223  5 Ni 2.33-2.36
Si 0.5000 0.5000 0.5000  4 Ni 2.39
Ni 0.0000 0.0000 0.0000  4 Si 2.33
Ni 0.0000 0.5000 0.6341  3 Si 2.36-2.39, 2 Ge 2.39
Ni 0.5000 0.0000 0.3659  3 Si 2.36-2.39, 2 Ge 2.39
Ni 0.5000 0.5000 0.0000  4 Si 2.33
Ge 0.0000 0.0000 0.5000  4 Ni 2.39

[11]
The following is a GGA-PBE calculation of crystalline Ca3Si2Ni9Ge at its relaxed geometry, from the Alexandria database.

Formation energy without anion corrections, eV per atom: -0.1759

a b c (Å): 5.9108 5.9108 8.2982
angles (deg): 90.00 90.00 120.00
With the nearest neighbours (Å) after each atom.
Sites, in units of the cell vectors:
Ca 0.0000 0.0000 0.0000  12 Ni 2.71-2.96
Ca 0.3333 0.6667 0.6538  9 Ni 3.02-3.34
Ca 0.6667 0.3333 0.3462  9 Ni 3.02-3.34
Si 0.3333 0.6667 0.1773  6 Ni 2.16-2.25
Si 0.6667 0.3333 0.8227  6 Ni 2.16-2.25
Ni 0.0000 0.5000 0.0000  2 Si 2.25
Ni 0.1386 0.2772 0.2779  1 Si 2.16, 1 Ge 2.33
Ni 0.1386 0.8614 0.2779  1 Si 2.16, 1 Ge 2.33
Ni 0.2772 0.1386 0.7221  1 Si 2.16, 1 Ge 2.33
Ni 0.5000 0.0000 0.0000  2 Si 2.25
Ni 0.5000 0.5000 0.0000  2 Si 2.25
Ni 0.7228 0.8614 0.2779  1 Si 2.16, 1 Ge 2.33
Ni 0.8614 0.1386 0.7221  1 Si 2.16, 1 Ge 2.33
Ni 0.8614 0.7228 0.7221  1 Si 2.16, 1 Ge 2.33
Ge 0.0000 0.0000 0.5000  6 Ni 2.33

[12]
The following is a GGA-PBE calculation of crystalline Ca2SiNi4Ge3 at its relaxed geometry, from the Alexandria database.

Formation energy without anion corrections, eV per atom: -0.5501

a b c (Å): 4.0413 4.0413 9.9257
angles (deg): 90.00 90.00 90.00
With the nearest neighbours (Å) after each atom.
Sites, in units of the cell vectors:
Ca 0.0000 0.5000 0.2472  8 Ni 3.10-3.22, 6 Ge 3.11-3.18, 2 Si 3.18
Ca 0.5000 0.0000 0.7528  8 Ni 3.10-3.22, 6 Ge 3.11-3.18, 2 Si 3.18
Si 0.5000 0.5000 0.0000  4 Ni 2.37
Ni 0.0000 0.0000 0.5000  4 Ge 2.40
Ni 0.0000 0.5000 0.8745  3 Ge 2.37-2.43, 2 Si 2.37
Ni 0.5000 0.0000 0.1255  3 Ge 2.37-2.43, 2 Si 2.37
Ni 0.5000 0.5000 0.5000  4 Ge 2.40
Ge 0.0000 0.0000 0.0000  4 Ni 2.37
Ge 0.0000 0.5000 0.6297  5 Ni 2.40-2.43
Ge 0.5000 0.0000 0.3703  5 Ni 2.40-2.43

no.,total magnetization (μB/f.u.),calculated density (g/cm³)
1,1.6,6.63
2,0.0,6.43
3,0.0,6.77
4,0.9,6.45
5,0.0,6.37
6,0.0,4.29
7,0.0,6.20
8,0.0,3.97
9,0.0,3.24
10,0.0,5.02
11,0.0,5.14
12,0.0,5.75